Compound: MgHgTe2
Source: the Alexandria database
Functional: PBE
Structure: relaxed

Summary:
- volume (Å³ per atom) = 28.55
- ΔE_f (raw) (eV/atom) = -0.16
- uncorrected energy (eV/atom) = -2.203
- excess energy over the best structure of this formula in the dataset (eV/atom) = 0.355
- space-group type = P4/mmm

Cell lengths 3.9218, 3.9139, 7.4410 Å; angles 90.00, 90.00, 90.00 degrees
Last column: nearest neighbours and their distance in Å.
Sites, in units of the cell vectors:
Hg: 0.5000 0.5000 0.2500  8 Te 3.56, 2 Mg 3.72, 4 Hg 3.91-3.92
Mg: 0.5000 0.5000 0.7500  8 Te 3.14
Te: 0.0000 0.0000 0.9487  1 Te 2.96, 4 Mg 3.14
Te: 0.0000 0.0000 0.5513  1 Te 2.96, 4 Mg 3.14

***

Compound: MgHg4Te5
Source: the Alexandria database
Functional: PBE
Structure: relaxed

Summary:
- volume (Å³ per atom) = 36.22
- ΔE_f (raw) (eV/atom) = -0.31
- uncorrected energy (eV/atom) = -2.156
- excess energy over the best structure of this formula in the dataset (eV/atom) = 0.000
- space-group type = I-4m2

Cell lengths 16.8221, 16.8221, 16.8221 Å; angles 163.99, 163.99, 22.72 degrees
Last column: nearest neighbours and their distance in Å.
Sites, in units of the cell vectors:
Mg: 0.5000 0.5000 0.0000  4 Te 2.82
Te: 0.2500 0.7500 0.5000  4 Hg 2.88
Te: 0.6489 0.1489 0.5000  4 Hg 2.87
Te: 0.0475 0.5475 0.5000  2 Mg 2.82, 2 Hg 2.88
Te: 0.4525 0.9525 0.5000  2 Mg 2.82, 2 Hg 2.88
Te: 0.8511 0.3511 0.5000  4 Hg 2.87
Hg: 0.9016 0.9016 0.0000  4 Te 2.87-2.88
Hg: 0.3006 0.3006 0.0000  4 Te 2.87-2.88
Hg: 0.6994 0.6994 0.0000  4 Te 2.87-2.88
Hg: 0.0984 0.0984 0.0000  4 Te 2.87-2.88

***

Compound: MgHgTe2
Source: the Alexandria database
Functional: PBE
Structure: relaxed

Summary:
- volume (Å³ per atom) = 35.69
- ΔE_f (raw) (eV/atom) = -0.49
- uncorrected energy (eV/atom) = -2.532
- excess energy over the best structure of this formula in the dataset (eV/atom) = 0.026
- space-group type = I-42d

Cell lengths 6.5718, 6.5718, 8.0810 Å; angles 66.01, 66.01, 90.00 degrees
Last column: nearest neighbours and their distance in Å.
Sites, in units of the cell vectors:
Mg: 0.5000 0.5000 0.0000  4 Te 2.82
Mg: 0.2500 0.7500 0.5000  4 Te 2.82
Te: 0.6166 0.1250 0.2500  2 Mg 2.82, 2 Hg 2.88
Te: 0.1334 0.6250 0.2500  2 Mg 2.82, 2 Hg 2.88
Te: 0.3750 0.3834 0.7500  2 Mg 2.82, 2 Hg 2.88
Te: 0.8750 0.8666 0.7500  2 Mg 2.82, 2 Hg 2.88
Hg: 0.0000 0.0000 0.0000  4 Te 2.88
Hg: 0.7500 0.2500 0.5000  4 Te 2.88

***

Compound: ThMg6Hg6
Source: the Alexandria database
Functional: PBE
Structure: relaxed

Summary:
- volume (Å³ per atom) = 22.74
- uncorrected energy (eV/atom) = -1.646
- calculated formation energy (eV/atom) = -0.20
- space-group type = Immm

Cell lengths 6.1287, 7.5997, 7.5997 Å; angles 77.14, 66.22, 66.22 degrees
Last column: nearest neighbours and their distance in Å.
Sites, in units of the cell vectors:
Th: 0.0000 0.0000 0.0000  8 Hg 3.22-3.51
Mg: 0.0000 0.5000 0.0000  6 Hg 2.94-3.09, 4 Mg 2.97-3.06
Mg: 0.5000 0.5000 0.0000  6 Hg 2.94-3.09, 4 Mg 2.97-3.06
Mg: 0.0000 0.0000 0.5000  6 Hg 2.94-3.09, 4 Mg 2.97-3.06
Mg: 0.5000 0.0000 0.5000  6 Hg 2.94-3.09, 4 Mg 2.97-3.06
Mg: 0.5000 0.7537 0.2463  6 Hg 2.89-3.19, 4 Mg 2.97
Mg: 0.5000 0.2463 0.7537  6 Hg 2.89-3.19, 4 Mg 2.97
Hg: 0.3349 0.6651 0.6651  6 Mg 2.93-2.95
Hg: 0.6651 0.3349 0.3349  6 Mg 2.93-2.95
Hg: 0.0000 0.3396 0.6604  1 Hg 3.04, 6 Mg 3.09-3.19, 1 Th 3.22
Hg: 0.0000 0.6604 0.3396  1 Hg 3.04, 6 Mg 3.09-3.19, 1 Th 3.22
Hg: 0.3323 0.1677 0.1677  6 Mg 2.89-2.94
Hg: 0.6677 0.8323 0.8323  6 Mg 2.89-2.94

***

Compound: Th3MgHg3
Source: the Alexandria database
Functional: PBE
Structure: relaxed

Summary:
- volume (Å³ per atom) = 28.27
- uncorrected energy (eV/atom) = -3.613
- calculated formation energy (eV/atom) = -0.08
- space-group type = C2/m

Cell lengths 6.5505, 6.5505, 9.4162 Å; angles 92.53, 92.53, 100.95 degrees
Last column: nearest neighbours and their distance in Å.
Sites, in units of the cell vectors:
Th: 0.5355 0.5355 0.3280  5 Hg 3.22-3.40, 1 Th 3.33, 1 Mg 3.56
Th: 0.1717 0.8283 0.5000  6 Hg 3.17-3.32, 1 Th 3.47
Th: 0.8283 0.1717 0.5000  6 Hg 3.17-3.32, 1 Th 3.47
Th: 0.3099 0.6901 0.0000  4 Hg 3.21-3.38, 4 Mg 3.37-3.57
Th: 0.6901 0.3099 0.0000  4 Hg 3.21-3.38, 4 Mg 3.37-3.57
Th: 0.4645 0.4645 0.6720  5 Hg 3.22-3.40, 1 Th 3.33, 1 Mg 3.56
Mg: 0.8116 0.8116 0.9150  4 Hg 2.80-2.83
Mg: 0.1884 0.1884 0.0850  4 Hg 2.80-2.83
Hg: 0.8887 0.8887 0.2095  2 Mg 2.80-2.83, 2 Hg 3.12
Hg: 0.9772 0.5358 0.7390  1 Mg 2.80, 1 Hg 3.12
Hg: 0.5358 0.9772 0.7390  1 Mg 2.80, 1 Hg 3.12
Hg: 0.0228 0.4642 0.2610  1 Mg 2.80, 1 Hg 3.12
Hg: 0.4642 0.0228 0.2610  1 Mg 2.80, 1 Hg 3.12
Hg: 0.1113 0.1113 0.7905  2 Mg 2.80-2.83, 2 Hg 3.12

***

Compound: ThMgHg3
Source: the Alexandria database
Functional: PBE
Structure: relaxed

Summary:
- volume (Å³ per atom) = 25.42
- uncorrected energy (eV/atom) = -2.131
- calculated formation energy (eV/atom) = -0.15
- space-group type = C2/m

Cell lengths 5.2969, 3.4385, 15.0035 Å; angles 96.58, 110.42, 90.00 degrees
Last column: nearest neighbours and their distance in Å.
Sites, in units of the cell vectors:
Th: 0.1128 0.4299 0.8598  8 Hg 3.32-3.34, 2 Th 3.44, 4 Mg 3.64-3.65
Th: 0.8872 0.5701 0.1402  8 Hg 3.32-3.34, 2 Th 3.44, 4 Mg 3.64-3.65
Mg: 0.5157 0.1353 0.2706  5 Hg 2.84-2.99
Mg: 0.4843 0.8647 0.7294  5 Hg 2.84-2.99
Hg: 0.6865 0.9675 0.9351  1 Mg 2.87, 1 Hg 3.20
Hg: 0.3135 0.0325 0.0649  1 Mg 2.87, 1 Hg 3.20
Hg: 0.6906 0.7228 0.4456  1 Hg 2.92, 2 Mg 2.99
Hg: 0.3094 0.2772 0.5544  1 Hg 2.92, 2 Mg 2.99
Hg: 0.9106 0.8275 0.6549  2 Mg 2.84-2.85, 1 Hg 2.92
Hg: 0.0894 0.1725 0.3451  2 Mg 2.84-2.85, 1 Hg 2.92

***

Compound: Th2MgHg
Source: the Alexandria database
Functional: PBE
Structure: relaxed

Summary:
- volume (Å³ per atom) = 27.44
- uncorrected energy (eV/atom) = -4.268
- calculated formation energy (eV/atom) = -0.08
- excess energy over the best structure of this formula in the dataset (eV/atom) = 0.000
- space-group type = P4/mmm

Cell lengths 4.8121, 4.7763, 4.7763 Å; angles 90.00, 90.00, 90.00 degrees
Last column: nearest neighbours and their distance in Å.
Sites, in units of the cell vectors:
Mg: 0.5000 0.5000 0.5000  4 Hg 3.38, 8 Th 3.39
Hg: 0.5000 0.0000 0.0000  4 Mg 3.38, 8 Th 3.39
Th: 0.0000 0.0000 0.5000  4 Th 3.38, 4 Hg 3.39, 4 Mg 3.39
Th: 0.0000 0.5000 0.0000  4 Th 3.38, 4 Hg 3.39, 4 Mg 3.39

***

Compound: Th3Mg2Hg7
Source: the Alexandria database
Functional: PBE
Structure: relaxed

Summary:
- volume (Å³ per atom) = 25.99
- uncorrected energy (eV/atom) = -2.413
- calculated formation energy (eV/atom) = -0.12
- space-group type = P2/m

Cell lengths 4.2461, 4.8536, 15.3353 Å; angles 99.24, 90.00, 90.00 degrees
Last column: nearest neighbours and their distance in Å.
Sites, in units of the cell vectors:
Th: 0.5000 0.5000 0.0000  8 Hg 3.18-3.22
Th: 0.0000 0.1886 0.3780  8 Hg 3.38-3.74, 4 Mg 3.59-3.60
Th: 0.0000 0.8114 0.6220  8 Hg 3.38-3.74, 4 Mg 3.59-3.60
Mg: 0.5000 0.6366 0.2730  5 Hg 2.65-2.85
Mg: 0.5000 0.3634 0.7270  5 Hg 2.65-2.85
Hg: 0.5000 0.7238 0.4481  1 Mg 2.65, 2 Hg 2.89
Hg: 0.5000 0.2762 0.5519  1 Mg 2.65, 2 Hg 2.89
Hg: 0.0000 0.5789 0.1568  2 Mg 2.76
Hg: 0.0000 0.0000 0.0000  4 Th 3.22, 8 Hg 3.39-3.40
Hg: 0.0000 0.4211 0.8432  2 Mg 2.76
Hg: 0.5000 0.9127 0.8251  2 Mg 2.84-2.85
Hg: 0.5000 0.0873 0.1749  2 Mg 2.84-2.85

***

Compound: Th2MgHg
Source: the Alexandria database
Functional: PBE
Structure: relaxed

Summary:
- volume (Å³ per atom) = 28.38
- uncorrected energy (eV/atom) = -4.195
- calculated formation energy (eV/atom) = -0.01
- excess energy over the best structure of this formula in the dataset (eV/atom) = 0.072
- space-group type = Fm-3m

Cell lengths 5.4349, 5.4349, 5.4349 Å; angles 60.00, 60.00, 60.00 degrees
Last column: nearest neighbours and their distance in Å.
Sites, in units of the cell vectors:
Mg: 0.5000 0.5000 0.5000  8 Th 3.33
Hg: 0.0000 0.0000 0.0000  8 Th 3.33
Th: 0.2500 0.2500 0.2500  4 Hg 3.33, 4 Mg 3.33
Th: 0.7500 0.7500 0.7500  4 Hg 3.33, 4 Mg 3.33

***

Compound: Th2MgHg3
Source: the Alexandria database
Functional: PBE
Structure: relaxed

Summary:
- volume (Å³ per atom) = 25.39
- uncorrected energy (eV/atom) = -3.123
- calculated formation energy (eV/atom) = -0.23
- excess energy over the best structure of this formula in the dataset (eV/atom) = 0.000
- space-group type = Fmmm

Cell lengths 6.1188, 6.1188, 9.4040 Å; angles 101.87, 101.87, 111.58 degrees
Last column: nearest neighbours and their distance in Å.
Sites, in units of the cell vectors:
Th: 0.2500 0.7500 0.5000  8 Hg 3.36-3.37, 4 Mg 3.39, 2 Th 3.44
Th: 0.7561 0.7561 0.0000  2 Th 3.36-3.52, 10 Hg 3.37-3.43, 2 Mg 3.41
Th: 0.7500 0.2500 0.5000  8 Hg 3.36-3.37, 4 Mg 3.39, 2 Th 3.44
Th: 0.2439 0.2439 0.0000  2 Th 3.36-3.52, 10 Hg 3.37-3.43, 2 Mg 3.41
Mg: 0.6670 0.6670 0.3341  3 Hg 2.85-2.86
Mg: 0.3330 0.3330 0.6659  3 Hg 2.85-2.86
Hg: 0.3417 0.8284 0.1701  1 Mg 2.85, 2 Hg 2.98-2.99
Hg: 0.1716 0.6583 0.8299  1 Mg 2.85, 2 Hg 2.98-2.99
Hg: 0.6583 0.1716 0.8299  1 Mg 2.85, 2 Hg 2.98-2.99
Hg: 0.8284 0.3417 0.1701  1 Mg 2.85, 2 Hg 2.98-2.99
Hg: 0.1698 0.1698 0.3395  1 Mg 2.86, 2 Hg 2.99
Hg: 0.8302 0.8302 0.6605  1 Mg 2.86, 2 Hg 2.99